Record 1
VASP calculation (PBE-GGA) on a geometry-optimized AcInBi2O8 structure.

extended XYZ file:
```
12
Lattice="5.208 0.000 0.000 0.000 7.008 0.000 -0.297 0.000 5.205" Properties=species:S:1:pos:R:3 pbc="T T T"
Ac 0.000 0.000 0.000
In 0.000 3.504 0.000
Bi 2.455 1.828 2.603
Bi 2.455 5.181 2.603
O 1.002 1.915 1.084
O 1.002 5.093 1.084
O 1.405 3.504 3.610
O 1.518 0.000 3.512
O 3.392 0.000 1.693
O 3.506 3.504 1.595
O 3.909 1.915 4.121
O 3.909 5.093 4.121
```

Density of states at the Fermi level in states/eV/atom: 0.41
Size of the total moment in μB/f.u.: 0.0
Uncorrected formation energy in eV/atom: -1.443

=====

Record 2
VASP calculation (PBE-GGA) on a geometry-optimized Ac2InBiO6 structure.

extended XYZ file:
```
10
Lattice="5.697 0.000 0.000 0.000 5.697 0.000 0.000 0.000 5.595" Properties=species:S:1:pos:R:3 pbc="T T T"
Ac 0.000 2.848 0.000
Ac 2.848 0.000 0.000
In 0.000 0.000 3.205
Bi 2.848 2.848 3.132
O 0.000 0.000 1.125
O 1.386 1.386 4.122
O 1.386 4.310 4.122
O 2.848 2.848 0.810
O 4.310 1.386 4.122
O 4.310 4.310 4.122
```

Density of states at the Fermi level in states/eV/atom: 0.00
Size of the total moment in μB/f.u.: 0.0
Uncorrected formation energy in eV/atom: -2.247

=====

Record 3
VASP calculation (PBE-GGA) on a geometry-optimized AcInBi2O6 structure.

extended XYZ file:
```
10
Lattice="6.134 0.000 0.000 -3.064 5.321 0.000 -3.064 -1.772 5.131" Properties=species:S:1:pos:R:3 pbc="T T T"
Ac 0.000 0.000 0.000
In -3.061 1.776 2.769
Bi 0.004 0.004 3.427
Bi 0.001 3.546 0.896
O -2.349 3.668 1.879
O -3.820 3.211 4.406
O -1.434 1.716 4.402
O 1.078 1.441 1.883
O 2.211 0.398 4.407
O 4.355 0.211 1.883
```

Density of states at the Fermi level in states/eV/atom: 0.00
Size of the total moment in μB/f.u.: 0.0
Uncorrected formation energy in eV/atom: -1.790

=====

Record 4
VASP calculation (PBE-GGA) on a geometry-optimized AcInBiO structure.

extended XYZ file:
```
8
Lattice="3.536 0.000 0.000 0.000 3.536 0.000 0.000 0.000 18.821" Properties=species:S:1:pos:R:3 pbc="T T T"
Ac 0.000 0.000 0.000
Ac 1.768 1.768 9.410
In 0.000 0.000 5.281
In 1.768 1.768 14.691
Bi 0.000 0.000 12.376
Bi 1.768 1.768 2.965
O 0.000 0.000 8.911
O 1.768 1.768 18.322
```

Density of states at the Fermi level in states/eV/atom: 0.26
Size of the total moment in μB/f.u.: 0.0
Uncorrected formation energy in eV/atom: -1.274

=====

Record 5
VASP calculation (PBE-GGA) on a geometry-optimized AcInBiPb structure.

extended XYZ file:
```
4
Lattice="4.989 0.000 0.000 0.000 4.999 0.000 0.000 0.000 5.136" Properties=species:S:1:pos:R:3 pbc="T T T"
Ac 0.000 0.000 0.000
In 0.000 2.500 2.568
Bi 2.495 2.500 0.000
Pb 2.495 0.000 2.568
```

Density of states at the Fermi level in states/eV/atom: 0.47
Size of the total moment in μB/f.u.: 0.0
Energy of formation in eV/f.u.: -1.87

=====

Record 6
VASP calculation (PBE-GGA) on a geometry-optimized AcInBiPb structure.

extended XYZ file:
```
16
Lattice="8.125 0.000 0.000 0.000 8.125 0.000 0.000 0.000 8.125" Properties=species:S:1:pos:R:3 pbc="T T T"
Ac 0.000 0.000 0.000
Ac 0.000 4.062 4.062
Ac 4.062 0.000 4.062
Ac 4.062 4.062 0.000
In 2.031 2.031 6.094
In 2.031 6.094 2.031
In 6.094 2.031 2.031
In 6.094 6.094 6.094
Bi 2.031 2.031 2.031
Bi 2.031 6.094 6.094
Bi 6.094 2.031 6.094
Bi 6.094 6.094 2.031
Pb 0.000 0.000 4.062
Pb 0.000 4.062 0.000
Pb 4.062 0.000 0.000
Pb 4.062 4.062 4.062
```

Density of states at the Fermi level in states/eV/atom: 1.00
Size of the total moment in μB/f.u.: 0.0
Energy of formation in eV/f.u.: -1.17

=====

Record 7
VASP calculation (PBE-GGA) on a geometry-optimized Ac2InBiPd6 structure.

extended XYZ file:
```
10
Lattice="0.000 5.071 5.071 5.071 0.000 5.071 5.071 5.071 0.000" Properties=species:S:1:pos:R:3 pbc="T T T"
Ac 2.536 2.536 2.536
Ac 7.607 7.607 7.607
In 0.000 0.000 0.000
Bi 5.071 5.071 5.071
Pd 5.071 5.071 2.514
Pd 5.071 2.514 5.071
Pd 7.629 5.071 5.071
Pd 2.514 5.071 5.071
Pd 5.071 7.629 5.071
Pd 5.071 5.071 7.629
```

Density of states at the Fermi level in states/eV/atom: 0.63
Size of the total moment in μB/f.u.: 0.0
Energy of formation in eV/f.u.: -2.44

=====

Record 8
VASP calculation (PBE-GGA) on a geometry-optimized AcInBiPd structure.

extended XYZ file:
```
16
Lattice="7.616 0.000 0.000 0.000 7.616 0.000 0.000 0.000 7.616" Properties=species:S:1:pos:R:3 pbc="T T T"
Ac 0.000 0.000 0.000
Ac 0.000 3.808 3.808
Ac 3.808 0.000 3.808
Ac 3.808 3.808 0.000
In 1.904 1.904 1.904
In 1.904 5.712 5.712
In 5.712 1.904 5.712
In 5.712 5.712 1.904
Bi 0.000 0.000 3.808
Bi 0.000 3.808 0.000
Bi 3.808 0.000 0.000
Bi 3.808 3.808 3.808
Pd 1.904 1.904 5.712
Pd 1.904 5.712 1.904
Pd 5.712 1.904 1.904
Pd 5.712 5.712 5.712
```

Density of states at the Fermi level in states/eV/atom: 0.63
Size of the total moment in μB/f.u.: 0.0
Energy of formation in eV/f.u.: -1.68

=====

Which formula does entry 6 have? AcInBiPb

=====

Which value of density of states at the Fermi level does entry 7 give? 0.63 states/eV/atom

=====

Among the records above, which one has the highest density of states at the Fermi level? number 6